(1)
This record from Alexandria via LeMat-Bulk describes a relaxed Mg3AsN crystal. The functional is PBE.

Summary:
Its space-group type is Cmcm. As for the density of states at the Fermi level: 0.002 states/eV per atom. Its formation energy from raw total energies is -0.24 eV per atom. For the total DFT energy (no corrections), the calculation gives -3.7961 eV per atom.

Lattice parameters (Å, degrees): 8.2555 8.2555 5.1813 90.00 90.00 137.36
Last column: nearest neighbours and their distance in Å.
Atoms (fractional coordinates):
Mg 0.0000 0.0000 0.0000  2 N 1.91
Mg 0.0000 0.0000 0.5000  2 N 1.91
Mg 0.0613 0.4215 0.2500  1 N 1.99
Mg 0.4215 0.0613 0.7500  1 N 1.99
Mg 0.5785 0.9387 0.2500  1 N 1.99
Mg 0.9387 0.5785 0.7500  1 N 1.99
As 0.3308 0.6692 0.7500  6 Mg 2.73-3.02
As 0.6692 0.3308 0.2500  6 Mg 2.73-3.02
N 0.0911 0.9089 0.7500  4 Mg 1.91-1.99
N 0.9089 0.0911 0.2500  4 Mg 1.91-1.99

(2)
This record from Alexandria via LeMat-Bulk describes a relaxed AlNiHIr2 crystal. The functional is PBE.

Summary:
Its space-group type is P4/mmm. As for the density of states at the Fermi level: 0.652 states/eV per atom. For the total DFT energy (no corrections), the calculation gives -6.4210 eV per atom.

Lattice parameters (Å, degrees): 3.9627 3.9627 3.5701 90.00 90.00 90.00
Last column: nearest neighbours and their distance in Å.
Atoms (fractional coordinates):
Al 0.0000 0.0000 0.0000  8 Ir 2.67, 4 Ni 2.80
Ni 0.5000 0.5000 0.0000  2 H 1.79
H 0.5000 0.5000 0.5000  2 Ni 1.79, 4 Ir 1.98
Ir 0.0000 0.5000 0.5000  2 H 1.98
Ir 0.5000 0.0000 0.5000  2 H 1.98

(3)
This record from Alexandria via LeMat-Bulk describes a relaxed ReTcTeI2 crystal. The functional is PBE.

Summary:
Its space-group type is P4/mmm. As for the density of states at the Fermi level: 1.173 states/eV per atom. Its polymorph energy (0 for the lowest one) is 0.00 kcal/mol of atoms. Its formation energy from raw total energies is 1.47 eV per atom. For the total DFT energy (no corrections), the calculation gives -4.3449 eV per atom.

Lattice parameters (Å, degrees): 5.5651 5.5651 5.1163 90.00 90.00 90.00
Last column: nearest neighbours and their distance in Å.
Atoms (fractional coordinates):
Re 0.0000 0.0000 0.0000  2 Te 2.56, 4 I 2.78
Tc 0.5000 0.5000 0.5000  8 I 3.78, 4 Te 3.94
Te 0.0000 0.0000 0.5000  2 Re 2.56
I 0.0000 0.5000 0.0000  2 Re 2.78
I 0.5000 0.0000 0.0000  2 Re 2.78

(4)
This record from Alexandria via LeMat-Bulk describes a relaxed Tl2PtC crystal. The functional is PBE.

Summary:
Its space-group type is I-42d. As for the density of states at the Fermi level: 0.000 states/eV per atom. For the formation energy, the calculation gives 1.142 eV/atom. Its polymorph energy (0 for the lowest one) is 0.00 kcal/mol of atoms. For the total DFT energy (no corrections), the calculation gives -3.8570 eV per atom.

Lattice parameters (Å, degrees): 6.8928 6.8928 6.8928 129.51 129.51 74.19
Last column: nearest neighbours and their distance in Å.
Atoms (fractional coordinates):
Tl 0.0544 0.6250 0.9294  2 C 2.27
Tl 0.3750 0.3044 0.4294  2 C 2.27
Tl 0.6956 0.1250 0.0706  2 C 2.27
Tl 0.8750 0.9456 0.5706  2 C 2.27
Pt 0.2500 0.7500 0.5000  4 Tl 2.76
Pt 0.5000 0.5000 0.0000  4 Tl 2.76
C 0.0000 0.0000 0.0000  4 Tl 2.27
C 0.7500 0.2500 0.5000  4 Tl 2.27

(5)
This record from Alexandria via LeMat-Bulk describes a relaxed SrCa2CdIr crystal. The functional is PBE.

Summary:
Its space-group type is P4/mmm. As for the density of states at the Fermi level: 0.572 states/eV per atom. For the formation energy, the calculation gives -0.150 eV/atom. Its polymorph energy (0 for the lowest one) is 0.93 kcal/mol of atoms. For the total DFT energy (no corrections), the calculation gives -3.2424 eV per atom.

Lattice parameters (Å, degrees): 5.4837 5.4837 5.4577 90.00 90.00 90.00
Last column: nearest neighbours and their distance in Å.
Atoms (fractional coordinates):
Sr 0.0000 0.0000 0.0000  8 Ca 3.87, 4 Cd 3.88
Ca 0.0000 0.5000 0.5000  2 Ir 2.74
Ca 0.5000 0.0000 0.5000  2 Ir 2.74
Cd 0.5000 0.5000 0.0000  2 Ir 2.73
Ir 0.5000 0.5000 0.5000  2 Cd 2.73, 4 Ca 2.74

(6)
This record from Alexandria via LeMat-Bulk describes a relaxed BaYP2Cl crystal. The functional is PBE.

Summary:
Its space-group type is P4/mmm. As for the density of states at the Fermi level: 0.356 states/eV per atom. Its polymorph energy (0 for the lowest one) is 0.00 kcal/mol of atoms. Its formation energy from raw total energies is -1.06 eV per atom. For the total DFT energy (no corrections), the calculation gives -5.2699 eV per atom.

Lattice parameters (Å, degrees): 5.2861 5.2861 5.3949 90.00 90.00 90.00
Last column: nearest neighbours and their distance in Å.
Atoms (fractional coordinates):
Ba 0.0000 0.0000 0.0000  4 Cl 3.74, 8 P 3.78
Y 0.5000 0.5000 0.5000  4 P 2.64, 2 Cl 2.70
P 0.0000 0.5000 0.5000  2 Y 2.64
P 0.5000 0.0000 0.5000  2 Y 2.64
Cl 0.5000 0.5000 0.0000  2 Y 2.70

(7)
This record from Alexandria via LeMat-Bulk describes a relaxed CaCrP2 crystal. The functional is PBE.

Summary:
Its space-group type is F-43m. As for the density of states at the Fermi level: 0.661 states/eV per atom. For the formation energy, the calculation gives 0.300 eV/atom. Its polymorph energy (0 for the lowest one) is 21.51 kcal/mol of atoms. For the total DFT energy (no corrections), the calculation gives -5.3110 eV per atom.

Lattice parameters (Å, degrees): 4.6612 4.6612 4.6612 60.00 60.00 60.00
Last column: nearest neighbours and their distance in Å.
Atoms (fractional coordinates):
Ca 0.0000 0.0000 0.0000  4 P 2.85, 4 Cr 2.85
Cr 0.2500 0.2500 0.2500  4 P 2.85, 4 Ca 2.85
P 0.5000 0.5000 0.5000  4 P 2.85, 4 Cr 2.85
P 0.7500 0.7500 0.7500  4 P 2.85, 4 Ca 2.85

(8)
This record from Alexandria via LeMat-Bulk describes a relaxed ErSc2Ga2Ag2 crystal. The functional is PBE.

Summary:
Its space-group type is R-3m. As for the density of states at the Fermi level: 0.472 states/eV per atom. For the formation energy, the calculation gives -0.363 eV/atom. For the total DFT energy (no corrections), the calculation gives -4.5032 eV per atom.

Lattice parameters (Å, degrees): 8.7877 8.7877 8.7877 29.80 29.80 29.80
Last column: nearest neighbours and their distance in Å.
Atoms (fractional coordinates):
Er 0.0000 0.0000 0.0000  6 Ag 3.19, 2 Sc 3.25, 6 Ga 3.33
Sc 0.1290 0.1290 0.1290  4 Ga 2.86-3.08, 3 Ag 2.96
Sc 0.8710 0.8710 0.8710  4 Ga 2.86-3.08, 3 Ag 2.96
Ga 0.2513 0.2513 0.2513  3 Ag 2.62, 3 Sc 2.86
Ga 0.7487 0.7487 0.7487  3 Ag 2.62, 3 Sc 2.86
Ag 0.4064 0.4064 0.4064  3 Ga 2.62
Ag 0.5936 0.5936 0.5936  3 Ga 2.62

(9)
This record from Alexandria via LeMat-Bulk describes a relaxed RbZn2POs crystal. The functional is PBE.

Summary:
Its space-group type is P4/mmm. As for the density of states at the Fermi level: 0.284 states/eV per atom. For the formation energy, the calculation gives -0.068 eV/atom. For the total DFT energy (no corrections), the calculation gives -4.0991 eV per atom.

Lattice parameters (Å, degrees): 5.0482 5.0482 4.4712 90.00 90.00 90.00
Last column: nearest neighbours and their distance in Å.
Atoms (fractional coordinates):
Rb 0.0000 0.0000 0.0000  8 Zn 3.37, 4 P 3.57
Zn 0.0000 0.5000 0.5000  2 Os 2.52
Zn 0.5000 0.0000 0.5000  2 Os 2.52
P 0.5000 0.5000 0.0000  2 Os 2.24
Os 0.5000 0.5000 0.5000  2 P 2.24

(10)
This record from Alexandria via LeMat-Bulk describes a relaxed Ac2AlAg6Sn crystal. The functional is PBE.

Summary:
Its space-group type is P-1. As for the density of states at the Fermi level: 0.527 states/eV per atom. For the formation energy, the calculation gives -0.161 eV/atom. For the total DFT energy (no corrections), the calculation gives -3.4679 eV per atom.

Lattice parameters (Å, degrees): 6.9213 6.9554 7.1361 61.47 61.60 60.23
Last column: nearest neighbours and their distance in Å.
Atoms (fractional coordinates):
Ac 0.2009 0.2031 0.3955  7 Ag 3.33-3.71, 1 Al 3.60
Ac 0.7991 0.7969 0.6045  7 Ag 3.33-3.71, 1 Al 3.60
Al 0.0000 0.0000 0.0000  6 Ag 2.57-2.58
Ag 0.1614 0.3222 0.8691  1 Al 2.58, 1 Sn 2.80
Ag 0.3218 0.6441 0.8736  1 Al 2.58, 1 Sn 2.80, 1 Ag 2.89
Ag 0.3566 0.8411 0.1277  1 Al 2.57, 1 Sn 2.80
Ag 0.6434 0.1589 0.8723  1 Al 2.57, 1 Sn 2.80
Ag 0.6782 0.3559 0.1264  1 Al 2.58, 1 Sn 2.80, 1 Ag 2.89
Ag 0.8386 0.6778 0.1309  1 Al 2.58, 1 Sn 2.80
Sn 0.5000 0.5000 0.5000  6 Ag 2.80